## CeDy12In6 (PBE-GGA)

Data for an optimized crystal structure of CeDy12In6.

Unit cell a=11.5104 b=11.5104 c=14.3681 alpha=90.00 beta=90.00 gamma=120.00
Last column: nearest neighbours and their distance in Å.
Space group R-3 (No. 148, hexagonal axes)
Unique sites:
Ce1 0.0000 0.0000 0.0000 (multiplicity 3)  6 Dy 3.30, 6 In 3.31
Dy1 0.0335 0.1850 0.8153 (multiplicity 18)  5 In 3.25-3.64, 4 Dy 3.29-3.40, 1 Ce 3.30
Dy2 0.0590 0.8472 0.4098 (multiplicity 18)  4 In 3.20-3.38, 4 Dy 3.37-3.44
In1 0.0214 0.4301 0.7122 (multiplicity 18)  8 Dy 3.20-3.57, 1 Ce 3.31, 2 In 3.50

* N(E_F): 1.289 states/eV per atom
* DFT formation energy: -351 kJ/mol of formula units